Record 1
Density functional theory data (PBE) for a geometry-optimized RbZr3Si structure.

Unit cell a=5.213 b=5.213 c=5.213 alpha=90.00 beta=90.00 gamma=90.00
Positions (direct):
Si1 0.000 0.000 0.000
Zr1 0.000 0.500 0.000
Zr2 0.000 0.000 0.500
Zr3 0.500 0.000 0.000
Rb1 0.500 0.500 0.500

Results
Density of states at the Fermi level: 11.0 states/eV/f.u.
Volume: 141.6 Å³/cell
Spin magnetization: 0.0 μB per cell
ΔE_f (raw): 0.654 eV/atom
Space-group type: Pm-3m, No. 221



Record 2
Density functional theory data (PBE) for a geometry-optimized Rb3ZrSi structure.

Unit cell a=6.686 b=6.686 c=6.686 alpha=90.00 beta=90.00 gamma=90.00
Each line ends with the local moment (μB).
Positions (direct):
Si1 0.000 0.000 0.000  0.14
Rb1 0.500 0.000 0.000  0.01
Rb2 0.000 0.000 0.500  0.02
Rb3 0.000 0.500 0.000  0.01
Zr1 0.500 0.500 0.500  1.66

Results
Density of states at the Fermi level: 17.8 states/eV/f.u.
Volume: 298.8 Å³/cell
Spin magnetization: 3.5 μB per cell
ΔE_f (raw): 1.295 eV/atom
Space-group type: Pm-3m, No. 221



Record 3
Density functional theory data (PBE) for a geometry-optimized RbZrSi3 structure.

Unit cell a=5.207 b=5.207 c=5.207 alpha=90.00 beta=90.00 gamma=90.00
Positions (direct):
Si1 0.000 0.500 0.000
Si2 0.500 0.000 0.000
Si3 0.000 0.000 0.500
Zr1 0.000 0.000 0.000
Rb1 0.500 0.500 0.500

Results
Density of states at the Fermi level: 2.5 states/eV/f.u.
Volume: 141.1 Å³/cell
Spin magnetization: 0.0 μB per cell
ΔE_f (raw): 0.354 eV/atom
Space-group type: Pm-3m, No. 221



Record 4
Density functional theory data (PBE) for a geometry-optimized RbZr2Si structure.

Unit cell a=5.390 b=5.390 c=10.369 alpha=74.94 beta=74.94 gamma=90.00
Positions (direct):
Zr1 0.404 0.125 0.250
Zr2 0.875 0.654 0.750
Zr3 0.346 0.625 0.250
Zr4 0.375 0.596 0.750
Rb1 0.750 0.250 0.500
Rb2 0.000 0.000 0.000
Si1 0.500 0.500 0.000
Si2 0.250 0.750 0.500

Results
Density of states at the Fermi level: 5.0 states/eV/f.u.
Volume: 280.1 Å³/cell
Spin magnetization: 0.0 μB per cell
ΔE_f (raw): 0.846 eV/atom
Space-group type: I-42d, No. 122



Record 5
Density functional theory data (PBE) for a geometry-optimized RbZr3Si structure.

Unit cell a=4.972 b=4.972 c=4.972 alpha=90.00 beta=90.00 gamma=90.00
Each line ends with the local moment (μB).
Positions (direct):
Zr1 0.500 0.000 0.000  0.38
Zr2 0.000 0.000 0.500  0.30
Zr3 0.000 0.500 0.000  0.35
Si1 0.500 0.500 0.500  -0.02
Rb1 0.000 0.000 0.000  0.05

Results
Density of states at the Fermi level: 5.2 states/eV/f.u.
Volume: 122.9 Å³/cell
Spin magnetization: 1.6 μB per cell
ΔE_f (raw): 2.157 eV/atom
Space-group type: Pm-3m, No. 221



Record 6
Density functional theory data (PBE) for a geometry-optimized RbZrSi3 structure.

Unit cell a=5.037 b=5.037 c=5.037 alpha=90.00 beta=90.00 gamma=90.00
Positions (direct):
Si1 0.500 0.000 0.000
Si2 0.000 0.000 0.500
Si3 0.000 0.500 0.000
Rb1 0.000 0.000 0.000
Zr1 0.500 0.500 0.500

Results
Density of states at the Fermi level: 3.9 states/eV/f.u.
Volume: 127.8 Å³/cell
Spin magnetization: 0.0 μB per cell
ΔE_f (raw): 2.124 eV/atom
Space-group type: Pm-3m, No. 221